DFT (GGA-PBE) results for a geometry-optimized Rb2HoPuSe4 structure.

The structure belongs to space group P2/m (No. 10); the cell edges are 7.4229, 4.2744 and 8.3415 Å and the angles 90.00°, 107.21° and 90.00°. The inequivalent atoms are Rb at (0.0000, 0.0000, 0.0000), Rb at (0.5000, 0.5000, 0.0000), Ho at (0.0000, 0.5000, 0.5000), Pu at (0.5000, 0.0000, 0.5000), Se at (0.2265, 0.0000, 0.6952) and Se at (0.2646, 0.5000, 0.3056).

As for the raw total energy: -5.925 eV per atom. The value obtained for the uncorrected formation energy is -1.578 eV/atom.